AlCuRe: relaxed, PBE-GGA.

CIF file:
```
data_AlCuRe
_chemical_formula_sum 'Al2 Cu2 Re2'
_cell_length_a 2.7989
_cell_length_b 2.7989
_cell_length_c 12.5558
_cell_angle_alpha 90.00
_cell_angle_beta 90.00
_cell_angle_gamma 120.00
_symmetry_space_group_name_H-M 'P 3 m 1'
_symmetry_Int_Tables_number 156
_symmetry_space_group_name_Hall 'P 3 -2"'
loop_
_atom_site_label
_atom_site_type_symbol
_atom_site_fract_x
_atom_site_fract_y
_atom_site_fract_z
_atom_site_occupancy
Al1 Al 0.0000 0.0000 0.0000 1
Al2 Al 0.0000 0.0000 0.3245 1
Cu1 Cu 0.6667 0.3333 0.1623 1
Cu2 Cu 0.6667 0.3333 0.8405 1
Re1 Re 0.3333 0.6667 0.6650 1
Re2 Re 0.6667 0.3333 0.4978 1
```

Calculated values
- Energy of formation: -23 kJ/mol of formula units
- Crystal system: trigonal

Tm8SiSe6: relaxed, PBE-GGA.

CIF file:
```
data_Tm8SiSe6
_chemical_formula_sum 'Tm8 Si1 Se6'
_cell_length_a 10.3098
_cell_length_b 10.3098
_cell_length_c 3.9487
_cell_angle_alpha 90.00
_cell_angle_beta 90.00
_cell_angle_gamma 120.00
_symmetry_space_group_name_H-M 'P -3'
_symmetry_Int_Tables_number 147
_symmetry_space_group_name_Hall '-P 3'
loop_
_atom_site_label
_atom_site_type_symbol
_atom_site_fract_x
_atom_site_fract_y
_atom_site_fract_z
_atom_site_occupancy
Tm1 Tm 0.0296 0.2954 0.2453 1
Tm2 Tm 0.3333 0.6667 0.7514 1
Si1 Si 0.0000 0.0000 0.0000 1
Se1 Se 0.1291 0.6518 0.2490 1
```

Calculated values
- ΔE_f (raw): -115.5 kJ/mol of atoms
- Crystal system: trigonal

AcTlSeCl: relaxed, PBE-GGA.

CIF file:
```
data_AcTlSeCl
_chemical_formula_sum 'Ac4 Tl4 Se4 Cl4'
_cell_length_a 7.653
_cell_length_b 7.653
_cell_length_c 7.653
_cell_angle_alpha 90.00
_cell_angle_beta 90.00
_cell_angle_gamma 90.00
_symmetry_space_group_name_H-M 'F -4 3 m'
_symmetry_Int_Tables_number 216
_symmetry_space_group_name_Hall 'F -4 2 3'
loop_
_atom_site_label
_atom_site_type_symbol
_atom_site_fract_x
_atom_site_fract_y
_atom_site_fract_z
_atom_site_occupancy
Ac1 Ac 0.000 0.000 0.000 1
Tl1 Tl 0.000 0.000 0.500 1
Se1 Se 0.250 0.250 0.750 1
Cl1 Cl 0.250 0.250 0.250 1
```

Calculated values
- ΔE_f (raw): -121.8 kJ/mol of atoms
- Crystal system: cubic

BaTl2Tc: relaxed, PBE-GGA.

CIF file:
```
data_BaTl2Tc
_chemical_formula_sum 'Ba2 Tl4 Tc2'
_cell_length_a 3.399
_cell_length_b 5.888
_cell_length_c 11.327
_cell_angle_alpha 90.00
_cell_angle_beta 90.00
_cell_angle_gamma 90.00
_symmetry_space_group_name_H-M 'I m m m'
_symmetry_Int_Tables_number 71
_symmetry_space_group_name_Hall '-I 2 2'
loop_
_atom_site_label
_atom_site_type_symbol
_atom_site_fract_x
_atom_site_fract_y
_atom_site_fract_z
_atom_site_occupancy
Ba1 Ba 0.000 0.000 0.000 1
Tl1 Tl 0.000 0.500 0.205 1
Tc1 Tc 0.000 0.000 0.500 1
```

Calculated values
- Energy of formation: 175 kJ/mol of formula units
- Crystal system: orthorhombic

La3Tb6PmPr2: relaxed, PBE-GGA.

CIF file:
```
data_La3Tb6PmPr2
_chemical_formula_sum 'La6 Tb12 Pm2 Pr4'
_cell_length_a 6.328
_cell_length_b 10.966
_cell_length_c 11.940
_cell_angle_alpha 90.00
_cell_angle_beta 100.16
_cell_angle_gamma 90.00
_symmetry_space_group_name_H-M 'C 1 2/m 1'
_symmetry_Int_Tables_number 12
_symmetry_space_group_name_Hall '-C 2y'
loop_
_atom_site_label
_atom_site_type_symbol
_atom_site_fract_x
_atom_site_fract_y
_atom_site_fract_z
_atom_site_occupancy
La1 La 0.000 0.000 0.000 1
La2 La 0.000 0.333 0.000 1
Tb1 Tb 0.249 0.334 0.748 1
Tb2 Tb 0.250 0.000 0.748 1
Pm1 Pm 0.000 0.500 0.500 1
Pr1 Pr 0.000 0.167 0.500 1
```

Calculated values
- Energy of formation: 13 kJ/mol of formula units
- Crystal system: monoclinic

Co2ReAu: relaxed, PBE-GGA.

CIF file:
```
data_Co2ReAu
_chemical_formula_sum 'Co6 Re3 Au3'
_cell_length_a 2.7253
_cell_length_b 2.7253
_cell_length_c 26.0754
_cell_angle_alpha 90.00
_cell_angle_beta 90.00
_cell_angle_gamma 120.00
_symmetry_space_group_name_H-M 'R 3 m'
_symmetry_Int_Tables_number 160
_symmetry_space_group_name_Hall 'R 3 -2"'
loop_
_atom_site_label
_atom_site_type_symbol
_atom_site_fract_x
_atom_site_fract_y
_atom_site_fract_z
_atom_site_occupancy
Co1 Co 0.0000 0.0000 0.0000 1
Co2 Co 0.0000 0.0000 0.2609 1
Re1 Re 0.0000 0.0000 0.7440 1
Au1 Au 0.0000 0.0000 0.5068 1
```

Calculated values
- Energy of formation: 130 kJ/mol of formula units
- Crystal system: trigonal

ZrCo2: relaxed, PBE-GGA.

CIF file:
```
data_ZrCo2
_chemical_formula_sum 'Zr4 Co8'
_cell_length_a 3.652
_cell_length_b 11.864
_cell_length_c 3.920
_cell_angle_alpha 90.00
_cell_angle_beta 90.00
_cell_angle_gamma 90.00
_symmetry_space_group_name_H-M 'C m c m'
_symmetry_Int_Tables_number 63
_symmetry_space_group_name_Hall '-C 2c 2'
loop_
_atom_site_label
_atom_site_type_symbol
_atom_site_fract_x
_atom_site_fract_y
_atom_site_fract_z
_atom_site_occupancy
Zr1 Zr 0.000 0.099 0.250 1
Co1 Co 0.000 0.245 0.750 1
Co2 Co 0.000 0.406 0.250 1
```

Calculated values
- Energy of formation: -34 kJ/mol of formula units
- Crystal system: orthorhombic

AsPtPb2: relaxed, PBE-GGA.

CIF file:
```
data_AsPtPb2
_chemical_formula_sum 'As2 Pt2 Pb4'
_cell_length_a 4.371
_cell_length_b 4.371
_cell_length_c 9.872
_cell_angle_alpha 90.00
_cell_angle_beta 90.00
_cell_angle_gamma 90.00
_symmetry_space_group_name_H-M 'I -4 m 2'
_symmetry_Int_Tables_number 119
_symmetry_space_group_name_Hall 'I -4 -2'
loop_
_atom_site_label
_atom_site_type_symbol
_atom_site_fract_x
_atom_site_fract_y
_atom_site_fract_z
_atom_site_occupancy
As1 As 0.000 0.000 0.000 1
Pt1 Pt 0.000 0.500 0.250 1
Pb1 Pb 0.000 0.000 0.500 1
Pb2 Pb 0.000 0.500 0.750 1
```

Calculated values
- Energy of formation: 71 kJ/mol of formula units
- Crystal system: tetragonal

CrSnS3: relaxed, PBE-GGA.

CIF file:
```
data_CrSnS3
_chemical_formula_sum 'Cr2 Sn2 S6'
_cell_length_a 6.528
_cell_length_b 3.636
_cell_length_c 9.176
_cell_angle_alpha 90.00
_cell_angle_beta 90.90
_cell_angle_gamma 90.00
_symmetry_space_group_name_H-M 'P 1 21/m 1'
_symmetry_Int_Tables_number 11
_symmetry_space_group_name_Hall '-P 2yb'
loop_
_atom_site_label
_atom_site_type_symbol
_atom_site_fract_x
_atom_site_fract_y
_atom_site_fract_z
_atom_site_occupancy
Cr1 Cr 0.073 0.250 0.164 1
Sn1 Sn 0.427 0.250 0.805 1
S1 S 0.062 0.250 0.698 1
S2 S 0.214 0.750 0.010 1
S3 S 0.368 0.250 0.322 1
```

Calculated values
- ΔE_f (raw): -47.2 kJ/mol of atoms
- Crystal system: monoclinic

ThTlGe2: relaxed, PBE-GGA.

CIF file:
```
data_ThTlGe2
_chemical_formula_sum 'Th3 Tl3 Ge6'
_cell_length_a 4.6261
_cell_length_b 4.6261
_cell_length_c 23.8898
_cell_angle_alpha 90.00
_cell_angle_beta 90.00
_cell_angle_gamma 120.00
_symmetry_space_group_name_H-M 'R -3 m'
_symmetry_Int_Tables_number 166
_symmetry_space_group_name_Hall '-R 3 2"'
loop_
_atom_site_label
_atom_site_type_symbol
_atom_site_fract_x
_atom_site_fract_y
_atom_site_fract_z
_atom_site_occupancy
Th1 Th 0.0000 0.0000 0.0000 1
Tl1 Tl 0.0000 0.0000 0.5000 1
Ge1 Ge 0.0000 0.0000 0.3902 1
```

Calculated values
- Energy of formation: 93 kJ/mol of formula units
- Crystal system: trigonal

NaCoOs: relaxed, PBE-GGA.

CIF file:
```
data_NaCoOs
_chemical_formula_sum 'Na2 Co2 Os2'
_cell_length_a 4.8316
_cell_length_b 4.8316
_cell_length_c 8.7792
_cell_angle_alpha 90.00
_cell_angle_beta 90.00
_cell_angle_gamma 120.00
_symmetry_space_group_name_H-M 'P 63/m m c'
_symmetry_Int_Tables_number 194
_symmetry_space_group_name_Hall '-P 6c 2c'
loop_
_atom_site_label
_atom_site_type_symbol
_atom_site_fract_x
_atom_site_fract_y
_atom_site_fract_z
_atom_site_occupancy
Na1 Na 0.3333 0.6667 0.2500 1
Co1 Co 0.0000 0.0000 0.2500 1
Os1 Os 0.0000 0.0000 0.0000 1
```

Calculated values
- Energy of formation: 631 kJ/mol of formula units
- Crystal system: hexagonal

Tb4PrRh: relaxed, PBE-GGA.

CIF file:
```
data_Tb4PrRh
_chemical_formula_sum 'Tb8 Pr2 Rh2'
_cell_length_a 5.599
_cell_length_b 7.553
_cell_length_c 9.668
_cell_angle_alpha 90.00
_cell_angle_beta 106.86
_cell_angle_gamma 90.00
_symmetry_space_group_name_H-M 'P 1 21/m 1'
_symmetry_Int_Tables_number 11
_symmetry_space_group_name_Hall '-P 2yb'
loop_
_atom_site_label
_atom_site_type_symbol
_atom_site_fract_x
_atom_site_fract_y
_atom_site_fract_z
_atom_site_occupancy
Tb1 Tb 0.000 0.000 0.000 1
Tb2 Tb 0.203 0.003 0.407 1
Tb3 Tb 0.383 0.250 0.765 1
Pr1 Pr 0.384 0.750 0.768 1
Rh1 Rh 0.101 0.750 0.203 1
```

Calculated values
- Energy of formation: -109 kJ/mol of formula units
- Crystal system: monoclinic

TeSIO2: relaxed, PBE-GGA.

CIF file:
```
data_TeSIO2
_chemical_formula_sum 'Te1 S1 I1 O2'
_cell_length_a 4.001
_cell_length_b 4.001
_cell_length_c 6.829
_cell_angle_alpha 90.00
_cell_angle_beta 90.00
_cell_angle_gamma 90.00
_symmetry_space_group_name_H-M 'P 4/m m m'
_symmetry_Int_Tables_number 123
_symmetry_space_group_name_Hall '-P 4 2'
loop_
_atom_site_label
_atom_site_type_symbol
_atom_site_fract_x
_atom_site_fract_y
_atom_site_fract_z
_atom_site_occupancy
Te1 Te 0.000 0.000 0.000 1
S1 S 0.500 0.500 0.500 1
I1 I 0.000 0.000 0.500 1
O1 O 0.000 0.500 0.000 1
```

Calculated values
- ΔE_f (raw): -7.2 kJ/mol of atoms
- Crystal system: tetragonal

no.,magnetization (μB/f.u.)
1,0.00
2,0.00
3,0.00
4,1.27
5,0.00
6,2.83
7,1.02
8,0.00
9,2.61
10,0.00
11,3.15
12,0.00
13,0.00